Density functional theory data (GGA-PBE) for a relaxed structure of Zn2Cr3.

Unit cell a=2.6964 b=2.6964 c=31.4473 alpha=90.00 beta=90.00 gamma=120.00
Space group R-3m (No. 166, hexagonal axes)
One atom of each set of equivalent atoms:
Zn1 0.0000 0.0000 0.0978 [6 per cell]
Cr1 0.0000 0.0000 0.3080 [6 per cell]
Cr2 0.0000 0.0000 0.5000 [3 per cell]

Calculated values
The formation energy is 0.332 eV per atom.

Density functional theory data (GGA-PBE) for a relaxed structure of Cs4Er3PaS8.

Unit cell a=8.1593 b=8.1593 c=24.2292 alpha=90.00 beta=90.00 gamma=120.00
Space group R-3m (No. 166, hexagonal axes)
One atom of each set of equivalent atoms:
Cs1 0.0000 0.0000 0.0000 [3 per cell]
Cs2 0.0000 0.5000 0.0000 [9 per cell]
Er1 0.0000 0.5000 0.5000 [9 per cell]
Pa1 0.0000 0.0000 0.5000 [3 per cell]
S1 0.0000 0.0000 0.2265 [6 per cell]
S2 0.0010 0.5005 0.7729 [18 per cell]

Calculated values
The formation energy from raw total energies is -1.71 eV per atom.

Density functional theory data (GGA-PBE) for a relaxed structure of La2HoHg.

Unit cell a=5.3144 b=5.3144 c=17.8030 alpha=90.00 beta=90.00 gamma=90.00
Space group I4/mmm (No. 139)
One atom of each set of equivalent atoms:
La1 0.0000 0.0000 0.1368 [4 per cell]
La2 0.0000 0.5000 0.0000 [4 per cell]
Ho1 0.0000 0.0000 0.3533 [4 per cell]
Hg1 0.0000 0.5000 0.2500 [4 per cell]

Calculated values
The excess energy over the best structure of this formula in the dataset is 0.0 kJ/mol of atoms. The formation energy is -0.238 eV per atom.

Density functional theory data (GGA-PBE) for a relaxed structure of K2LaFe.

Unit cell a=3.8381 b=3.8381 c=11.1935 alpha=90.00 beta=90.00 gamma=90.00
Space group P4mm (No. 99)
One atom of each set of equivalent atoms:
K1 0.0000 0.0000 0.0000 [1 per cell]
K2 0.5000 0.5000 0.3640 [1 per cell]
La1 0.0000 0.0000 0.6724 [1 per cell]
Fe1 0.5000 0.5000 0.7659 [1 per cell]

Calculated values
The excess energy over the best structure of this formula in the dataset is 2.0 kJ/mol of atoms. The formation energy is 0.475 eV per atom.